# K2Li2SbO4

Crystalline K2Li2SbO4 at its relaxed geometry (PBE, Alexandria).

Properties
formation energy from raw total energies: -1.542 eV/atom

abc: 12.2503 3.4496 6.3408
angles: 90.00 110.16 90.00
Space group C2/m (No. 12)
One atom of each set of equivalent atoms:
K: 0.1398 0.0000 0.0586 (multiplicity 4)
Li: 0.1817 0.5000 0.4919 (multiplicity 4)
Sb: 0.0000 0.0000 0.5000 (multiplicity 2)
O: 0.0157 0.5000 0.2926 (multiplicity 4)
O: 0.1885 0.0000 0.6404 (multiplicity 4)

# YTh2Rh

Crystalline YTh2Rh at its relaxed geometry (PBE, Alexandria).

Properties
formation energy from the elements: -30 kJ/mol of atoms
energy above the lowest structure with this stoichiometry: 0.64 eV per formula unit

abc: 3.8772 3.8772 27.7054
angles: 90.00 90.00 120.00
Space group R3m (No. 160, hexagonal axes)
One atom of each set of equivalent atoms:
Y: 0.0000 0.0000 0.0000 (multiplicity 3)
Th: 0.0000 0.0000 0.5651 (multiplicity 3)
Th: 0.0000 0.0000 0.7708 (multiplicity 3)
Rh: 0.0000 0.0000 0.1679 (multiplicity 3)

# LaSc2Ru

Crystalline LaSc2Ru at its relaxed geometry (PBE, Alexandria).

Properties
formation energy from the elements: -32 kJ/mol of atoms
energy above the lowest structure with this stoichiometry: 0.00 eV per formula unit

abc: 3.2897 3.2897 8.6803
angles: 90.00 90.00 90.00
Space group P4/mmm (No. 123)
One atom of each set of equivalent atoms:
La: 0.0000 0.0000 0.0000 (multiplicity 1)
Sc: 0.5000 0.5000 0.3261 (multiplicity 2)
Ru: 0.0000 0.0000 0.5000 (multiplicity 1)

Calculated values (states/eV/f.u.) of N(E_F) for the records, taken in order: 1.10, 4.79, 2.94.
Calculated values (Å³/cell) of volume for the records, taken in order: 251.54, 360.69, 93.94.